# 1
A plane-wave DFT calculation with meta-GGA SCAN was carried out for a crystal of LiCuAs relaxed with PBEsol.

```
LiCuAs
1.0
-1.3820 1.3820 5.7357
1.3820 -1.3820 5.7357
1.3820 1.3820 -5.7357
Li Cu As
1 1 1
Direct
0.0000 0.0000 0.0000 Li
0.3353 0.3353 0.0000 Cu
0.6782 0.6782 0.0000 As
```

## Properties
Uncorrected energy: -12.65 eV per atom
Calculated density: 5.51 g/cm3
DFT formation energy: -0.06 eV per atom
Space-group type: No. 107
Fermi-level density of states: 1.0 states/eV per cell

=====

# 2
A plane-wave DFT calculation with meta-GGA SCAN was carried out for a crystal of Li2CuAs relaxed with PBEsol.

```
Li2CuAs
1.0
-3.5732 3.5732 2.3740
3.5732 -3.5732 2.3740
3.5732 3.5732 -2.3740
Li Cu As
4 2 2
Direct
0.1230 0.1250 0.4980 Li
0.3750 0.8770 0.0020 Li
0.6270 0.6250 0.5020 Li
0.8750 0.3730 0.9980 Li
0.2500 0.7500 0.5000 Cu
0.5000 0.5000 0.0000 Cu
0.0000 0.0000 0.0000 As
0.7500 0.2500 0.5000 As
```

## Properties
Uncorrected energy: -10.16 eV per atom
Calculated density: 4.17 g/cm3
DFT formation energy: -0.12 eV per atom
Space-group type: No. 122
Fermi-level density of states: 1.4 states/eV per cell

=====

# 3
A plane-wave DFT calculation with meta-GGA SCAN was carried out for a crystal of LiCuAs relaxed with PBEsol.

```
LiCuAs
1.0
4.0955 0.0000 0.0000
-2.0477 3.5468 0.0000
0.0000 0.0000 2.9856
Li Cu As
1 1 1
Direct
0.0000 0.0000 0.0000 Li
0.3333 0.6667 0.5000 Cu
0.6667 0.3333 0.5000 As
```

## Properties
Uncorrected energy: -12.98 eV per atom
Calculated density: 5.57 g/cm3
DFT formation energy: -0.38 eV per atom
Space-group type: No. 187
Fermi-level density of states: 0.5 states/eV per cell

=====

# 4
A plane-wave DFT calculation with meta-GGA SCAN was carried out for a crystal of LiCuAsSe2 relaxed with PBEsol.

```
LiCuAsSe2
1.0
4.9184 0.0000 0.0000
0.0000 4.9184 0.0000
0.0000 0.0000 4.4726
Li Cu As Se
1 1 1 2
Direct
0.0000 0.0000 0.0000 Li
0.5000 0.5000 0.5000 Cu
0.5000 0.5000 0.0000 As
0.0000 0.5000 0.5000 Se
0.5000 0.0000 0.5000 Se
```

## Properties
Uncorrected energy: -15.46 eV per atom
Raw formation energy: 0.1313 eV/atom
Calculated density: 4.66 g/cm3
Space-group type: No. 123
Fermi-level density of states: 3.0 states/eV per cell

=====

# 5
A plane-wave DFT calculation with meta-GGA SCAN was carried out for a crystal of LuCuAs2 relaxed with PBEsol.

```
LuCuAs2
1.0
3.8160 0.0000 0.0000
0.0000 3.8160 0.0000
0.0000 0.0000 9.5127
Lu Cu As
2 2 4
Direct
0.2500 0.2500 0.2376 Lu
0.7500 0.7500 0.7624 Lu
0.2500 0.7500 0.5000 Cu
0.7500 0.2500 0.5000 Cu
0.2500 0.2500 0.6665 As
0.2500 0.7500 0.0000 As
0.7500 0.2500 0.0000 As
0.7500 0.7500 0.3335 As
```

## Properties
Uncorrected energy: -28.60 eV per atom
Calculated density: 9.31 g/cm3
DFT formation energy: -0.87 eV per atom
Space-group type: No. 129
Fermi-level density of states: 1.9 states/eV per cell

=====

# 6
A plane-wave DFT calculation with meta-GGA SCAN was carried out for a crystal of MgCuAs relaxed with PBEsol.

```
MgCuAs
1.0
3.9469 0.0000 0.0000
0.0000 3.9469 0.0000
0.0000 0.0000 6.2300
Mg Cu As
2 2 2
Direct
0.2500 0.2500 0.1798 Mg
0.7500 0.7500 0.8202 Mg
0.2500 0.7500 0.5000 Cu
0.7500 0.2500 0.5000 Cu
0.2500 0.2500 0.7525 As
0.7500 0.7500 0.2475 As
```

## Properties
Uncorrected energy: -13.87 eV per atom
Calculated density: 5.57 g/cm3
DFT formation energy: -0.42 eV per atom
Space-group type: No. 129
Fermi-level density of states: 0.2 states/eV per cell

=====

# 7
A plane-wave DFT calculation with meta-GGA SCAN was carried out for a crystal of MgCu2As relaxed with PBEsol.

```
MgCu2As
1.0
2.6970 -4.5693 0.0000
2.6970 4.5693 0.0000
-1.3724 0.0000 2.3656
Mg Cu As
1 2 1
Direct
0.0000 0.0000 0.0000 Mg
0.0000 0.5000 0.0000 Cu
0.5000 0.0000 0.0000 Cu
0.5000 0.5000 0.0000 As
```

## Properties
Uncorrected energy: -13.83 eV per atom
Calculated density: 6.45 g/cm3
DFT formation energy: 0.06 eV per atom
Space-group type: No. 12
Fermi-level density of states: 1.6 states/eV per cell

=====

# 8
A plane-wave DFT calculation with meta-GGA SCAN was carried out for a crystal of MgCu2As relaxed with PBEsol.

```
MgCu2As
1.0
2.9319 0.0000 0.0000
0.0000 4.0989 0.0000
0.0000 0.0000 4.9829
Mg Cu As
1 2 1
Direct
0.0000 0.0000 0.0000 Mg
0.5000 0.5000 0.2397 Cu
0.5000 0.5000 0.7603 Cu
0.5000 0.0000 0.5000 As
```

## Properties
Uncorrected energy: -14.00 eV per atom
Calculated density: 6.28 g/cm3
DFT formation energy: -0.11 eV per atom
Space-group type: No. 47
Fermi-level density of states: 0.8 states/eV per cell